No. 1
Computed, not measured: MgTa2Ir after structural relaxation at the PBE level of DFT.

Unit cell a=4.201 b=2.901 c=6.083 alpha=66.96 beta=90.00 gamma=90.00
Atoms (fractional coordinates):
1 Ir 0.500 0.250 0.250
2 Mg 0.500 0.750 0.750
3 Ta 0.000 0.010 0.012
4 Ta 0.000 0.490 0.488

raw total energy: -8.644 eV per atom
N(E_F): 2.46 states/eV per cell
ΔH_f (0 K): -0.41 eV/f.u.
space-group type: No. 10


No. 2
Computed, not measured: Mg2SnBr2 after structural relaxation at the PBE level of DFT.

Unit cell a=4.692 b=4.692 c=6.993 alpha=70.40 beta=70.40 gamma=90.00
Atoms (fractional coordinates):
1 Mg 0.380 0.380 0.240
2 Mg 0.620 0.620 0.760
3 Sn 0.000 0.000 0.000
4 Br 0.750 0.250 0.500
5 Br 0.250 0.750 0.500

raw total energy: -2.493 eV per atom
ΔE to the lowest computed polymorph: 0.096 eV/atom
N(E_F): 3.89 states/eV per cell
ΔE_f (raw): -1.93 eV per formula unit
space-group type: No. 139


No. 3
Computed, not measured: Li2ZnPt after structural relaxation at the PBE level of DFT.

Unit cell a=4.564 b=4.564 c=2.868 alpha=90.00 beta=90.00 gamma=110.34
Atoms (fractional coordinates):
1 Li 0.000 0.000 0.000
2 Li 0.500 0.500 0.000
3 Pt 0.500 0.000 0.500
4 Zn 0.000 0.500 0.500

raw total energy: -3.230 eV per atom
N(E_F): 1.18 states/eV per cell
ΔH_f (0 K): -1.78 eV/f.u.
space-group type: No. 65


No. 4
Computed, not measured: Mg4BiPd after structural relaxation at the PBE level of DFT.

Unit cell a=5.653 b=8.288 c=7.527 alpha=114.80 beta=100.57 gamma=110.43
Atoms (fractional coordinates):
1 Mg 0.057 0.191 0.833
2 Mg 0.781 0.725 0.659
3 Mg 0.276 0.642 0.833
4 Mg 0.377 0.933 0.659
5 Mg 0.623 0.067 0.341
6 Mg 0.724 0.358 0.167
7 Mg 0.219 0.275 0.341
8 Mg 0.943 0.809 0.167
9 Bi 0.377 0.627 0.254
10 Bi 0.623 0.373 0.746
11 Pd 0.249 0.999 0.997
12 Pd 0.751 0.001 0.003

raw total energy: -2.913 eV per atom
N(E_F): 4.38 states/eV per cell
ΔH_f (0 K): -2.02 eV/f.u.
space-group type: No. 15


No. 5
Computed, not measured: Sr2Pt after structural relaxation at the PBE level of DFT.

Unit cell a=7.508 b=7.508 c=7.508 alpha=90.00 beta=90.00 gamma=90.00
Atoms (fractional coordinates):
1 Pt 0.000 0.000 0.000
2 Pt 0.000 0.500 0.500
3 Pt 0.500 0.000 0.500
4 Pt 0.500 0.500 0.000
5 Sr 0.165 0.665 0.835
6 Sr 0.165 0.835 0.335
7 Sr 0.335 0.165 0.835
8 Sr 0.335 0.335 0.335
9 Sr 0.665 0.665 0.665
10 Sr 0.665 0.835 0.165
11 Sr 0.835 0.165 0.665
12 Sr 0.835 0.335 0.165

raw total energy: -3.794 eV per atom
N(E_F): 3.17 states/eV per cell
ΔH_f (0 K): -1.98 eV/f.u.
space-group type: No. 205


No. 6
Computed, not measured: Eu after structural relaxation at the PBE level of DFT.

Unit cell a=5.153 b=5.153 c=5.153 alpha=97.27 beta=97.27 gamma=138.34
Each line ends with the local moment (μB).
Atoms (fractional coordinates):
1 Eu 0.125 0.875 0.750  6.95
2 Eu 0.875 0.125 0.250  6.95

raw total energy: -9.992 eV per atom
ΔE to the lowest computed polymorph: 0.283 eV/atom
N(E_F): 2.91 states/eV per cell
ΔH_f (0 K): 0.28 eV/f.u.
space-group type: No. 141


No. 7
Computed, not measured: SiRu2W2 after structural relaxation at the PBE level of DFT.

Unit cell a=7.483 b=7.483 c=2.869 alpha=90.00 beta=90.00 gamma=90.00
Atoms (fractional coordinates):
1 Ru 0.135 0.635 0.500
2 Ru 0.635 0.865 0.500
3 Ru 0.865 0.365 0.500
4 Ru 0.365 0.135 0.500
5 Si 0.000 0.000 0.000
6 Si 0.500 0.500 0.000
7 W 0.342 0.842 0.000
8 W 0.842 0.658 0.000
9 W 0.658 0.158 0.000
10 W 0.158 0.342 0.000

raw total energy: -9.610 eV per atom
ΔE to the lowest computed polymorph: 0.000 eV/atom
N(E_F): 5.28 states/eV per cell
ΔE_f (raw): 1.83 eV per formula unit
space-group type: No. 127


No. 8
Computed, not measured: CaPbCCl2 after structural relaxation at the PBE level of DFT.

Unit cell a=5.632 b=4.451 c=5.632 alpha=90.00 beta=90.00 gamma=90.00
Each line ends with the local moment (μB).
Atoms (fractional coordinates):
1 Pb 0.000 0.000 0.000  -0.01
2 Ca 0.500 0.500 0.500  0.00
3 C 0.000 0.500 0.000  0.43
4 Cl 0.000 0.000 0.500  0.02
5 Cl 0.500 0.000 0.000  0.02

raw total energy: -3.468 eV per atom
N(E_F): 3.60 states/eV per cell
ΔE_f (raw): 1.29 eV per formula unit
space-group type: No. 123


no.,size of the total moment (Bohr magnetons per cell)
1,0.00
2,0.00
3,0.00
4,0.00
5,0.00
6,14.58
7,0.00
8,0.99